The following is a PBE calculation of a relaxed TlAu3 crystal, from Alexandria via LeMat-Bulk.

Computed properties:
Formation enthalpy at 0 K (meV/atom): 114
Space group: P2/m
Crystal system: monoclinic
Energy (eV per atom): -2.9354
D(E_F) (states/eV per cell): 0.92

Cell: 4.9206 3.1591 5.4301 Å, 79.52 90.00 90.00°
Last column: nearest neighbours and their distance in Å.
Element x y z (fractional)
Tl  0.5000  0.2500  0.2500  6 Au 2.88-3.12, 2 Tl 3.16
Au  0.0000  0.9233  0.9838  7 Au 2.87-3.16, 2 Tl 3.12
Au  0.5000  0.7500  0.7500  6 Au 2.87-3.16, 2 Tl 2.88
Au  0.0000  0.5767  0.5162  7 Au 2.87-3.16, 2 Tl 3.12

The following is a PBE calculation of a relaxed Ba2Ag3Hg12Pb crystal, from Alexandria via LeMat-Bulk.

Computed properties:
Formation enthalpy at 0 K (meV/atom): -86
Space group: R-3m
Crystal system: trigonal
Energy (eV per atom): -1.1819
D(E_F) (states/eV per cell): 5.52

Cell: 12.3026 12.3026 12.3026 Å, 34.35 34.35 34.35°
Last column: nearest neighbours and their distance in Å.
Element x y z (fractional)
Ba  0.6374  0.6374  0.6374  12 Hg 3.60-3.80
Ba  0.3626  0.3626  0.3626  12 Hg 3.60-3.80
Ag  0.5000  0.0000  0.0000  4 Hg 2.81
Ag  0.0000  0.5000  0.0000  4 Hg 2.81
Ag  0.0000  0.0000  0.5000  4 Hg 2.81
Hg  0.4090  0.4090  0.8210  2 Ag 2.81, 4 Hg 2.99-3.03
Hg  0.8802  0.8802  0.4239  4 Hg 3.03-3.31, 1 Pb 3.12
Hg  0.4239  0.8802  0.8802  4 Hg 3.03-3.31, 1 Pb 3.12
Hg  0.8210  0.4090  0.4090  2 Ag 2.81, 4 Hg 2.99-3.03
Hg  0.8802  0.4239  0.8802  4 Hg 3.03-3.31, 1 Pb 3.12
Hg  0.4090  0.8210  0.4090  2 Ag 2.81, 4 Hg 2.99-3.03
Hg  0.5910  0.5910  0.1790  2 Ag 2.81, 4 Hg 2.99-3.03
Hg  0.1198  0.1198  0.5761  4 Hg 3.03-3.31, 1 Pb 3.12
Hg  0.5761  0.1198  0.1198  4 Hg 3.03-3.31, 1 Pb 3.12
Hg  0.1790  0.5910  0.5910  2 Ag 2.81, 4 Hg 2.99-3.03
Hg  0.1198  0.5761  0.1198  4 Hg 3.03-3.31, 1 Pb 3.12
Hg  0.5910  0.1790  0.5910  2 Ag 2.81, 4 Hg 2.99-3.03
Pb  0.0000  0.0000  0.0000  6 Hg 3.12

The following is a PBE calculation of a relaxed Tb6Y5 crystal, from Alexandria via LeMat-Bulk.

Computed properties:
Formation enthalpy at 0 K (meV/atom): 113
Space group: Immm
Crystal system: orthorhombic
Energy (eV per atom): -5.3503
Distance to the lowest polymorph of the same formula (eV/f.u.): 0.00
D(E_F) (states/eV per cell): 17.37

Cell: 5.5539 9.3248 9.3248 Å, 116.01 107.32 107.32°
Last column: nearest neighbours and their distance in Å.
Element x y z (fractional)
Tb  0.7052  0.2051  0.2051  5 Tb 3.35-3.52, 6 Y 3.51-3.68
Tb  0.2948  0.7949  0.7949  5 Tb 3.35-3.52, 6 Y 3.51-3.68
Tb  0.7951  0.6585  0.9316  5 Y 3.24-3.61, 3 Tb 3.35-3.52
Tb  0.2049  0.0684  0.3415  5 Y 3.24-3.61, 3 Tb 3.35-3.52
Tb  0.2049  0.3415  0.0684  5 Y 3.24-3.61, 3 Tb 3.35-3.52
Tb  0.7951  0.9316  0.6585  5 Y 3.24-3.61, 3 Tb 3.35-3.52
Y  0.5000  0.5000  0.5000  4 Tb 3.24
Y  0.0000  0.6613  0.3387  8 Tb 3.51-3.70, 4 Y 3.52-3.77
Y  0.0000  0.3387  0.6613  8 Tb 3.51-3.70, 4 Y 3.52-3.77
Y  0.5000  0.7978  0.2022  8 Tb 3.40-3.61, 2 Y 3.52
Y  0.5000  0.2022  0.7978  8 Tb 3.40-3.61, 2 Y 3.52

The following is a PBE calculation of a relaxed KSb2Pd6 crystal, from Alexandria via LeMat-Bulk.

Computed properties:
Space group: P4/mmm
Crystal system: tetragonal
Energy (eV per atom): -4.7681
ΔE_f (raw) (eV/atom): -0.268
D(E_F) (states/eV per cell): 4.52

Cell: 4.5185 4.5185 9.3576 Å, 90.00 90.00 90.00°
Last column: nearest neighbours and their distance in Å.
Element x y z (fractional)
K  0.0000  0.0000  0.0000  8 Sb 3.64, 8 Pd 3.81
Sb  0.5000  0.5000  0.1871  4 Pd 2.61
Sb  0.5000  0.5000  0.8129  4 Pd 2.61
Pd  0.0000  0.5000  0.3276  2 Sb 2.61, 4 Pd 2.78
Pd  0.5000  0.0000  0.3276  2 Sb 2.61, 4 Pd 2.78
Pd  0.0000  0.5000  0.6724  2 Sb 2.61, 4 Pd 2.78
Pd  0.5000  0.0000  0.6724  2 Sb 2.61, 4 Pd 2.78
Pd  0.5000  0.5000  0.5000  8 Pd 2.78, 2 Sb 2.93
Pd  0.0000  0.0000  0.5000  8 Pd 2.78

The following is a PBE calculation of a relaxed Mn3P crystal, from Alexandria via LeMat-Bulk.

Computed properties:
Formation enthalpy at 0 K (meV/atom): -13
Space group: R-3m
Crystal system: trigonal
Energy (eV per atom): -8.2430
D(E_F) (states/eV per cell): 5.60

Cell: 7.7080 7.7080 7.7080 Å, 19.26 19.26 19.26°
Last column: nearest neighbours and their distance in Å.
Element x y z (fractional)
Mn  0.7470  0.7470  0.7470  3 P 2.35, 9 Mn 2.46-2.58
Mn  0.5000  0.5000  0.5000  12 Mn 2.46-2.58
Mn  0.2530  0.2530  0.2530  3 P 2.35, 9 Mn 2.46-2.58
P  0.0000  0.0000  0.0000  6 Mn 2.35, 6 P 2.58

The following is a PBE calculation of a relaxed K3Sr5 crystal, from Alexandria via LeMat-Bulk.

Computed properties:
Formation enthalpy at 0 K (meV/atom): 182
Space group: P6_3/mcm
Crystal system: hexagonal
Energy (eV per atom): -1.2806
Distance to the lowest polymorph of the same formula (eV/f.u.): 1.17
D(E_F) (states/eV per cell): 15.51

Cell: 11.8162 11.8162 7.9994 Å, 90.00 90.00 120.00°
Last column: nearest neighbours and their distance in Å.
Element x y z (fractional)
Sr  0.3333  0.6667  0.0000  2 Sr 4.00, 6 K 4.11
Sr  0.6667  0.3333  0.5000  2 Sr 4.00, 6 K 4.11
Sr  0.6667  0.3333  0.0000  2 Sr 4.00, 6 K 4.11
Sr  0.3333  0.6667  0.5000  2 Sr 4.00, 6 K 4.11
Sr  0.2236  0.0000  0.2500  5 K 4.16-4.54, 2 Sr 4.58
Sr  0.7764  0.0000  0.7500  5 K 4.16-4.54, 2 Sr 4.58
Sr  0.0000  0.2236  0.2500  5 K 4.16-4.54, 2 Sr 4.58
Sr  0.7764  0.7764  0.2500  5 K 4.16-4.54, 2 Sr 4.58
Sr  0.2236  0.2236  0.7500  5 K 4.16-4.54, 2 Sr 4.58
Sr  0.0000  0.7764  0.7500  5 K 4.16-4.54, 2 Sr 4.58
K  0.5946  0.0000  0.2500  9 Sr 4.11-4.54, 2 K 4.58
K  0.4054  0.0000  0.7500  9 Sr 4.11-4.54, 2 K 4.58
K  0.0000  0.5946  0.2500  9 Sr 4.11-4.54, 2 K 4.58
K  0.4054  0.4054  0.2500  9 Sr 4.11-4.54, 2 K 4.58
K  0.5946  0.5946  0.7500  9 Sr 4.11-4.54, 2 K 4.58
K  0.0000  0.4054  0.7500  9 Sr 4.11-4.54, 2 K 4.58

Number 1: calculated density 15.9 g cm⁻³. Number 2: calculated density 10.1 g cm⁻³. Number 3: calculated density 6.5 g cm⁻³. Number 4: calculated density 8.0 g cm⁻³. Number 5: calculated density 7.5 g cm⁻³. Number 6: calculated density 1.9 g cm⁻³.